{
  "formula": "Rb3NaAg2I6",
  "functional": "GGA-PBE",
  "state": "optimized geometry",
  "lattice": [[-2.409, -8.414, -2.020], [2.397, 2.091, 8.401], [-9.066, 2.100, 2.064]],
  "species": ["Rb", "Rb", "Rb", "Na", "Ag", "Ag", "I", "I", "I", "I", "I", "I"],
  "frac_coords": [[0.333, 0.667, 0.626], [0.667, 0.333, 0.374], [0.000, 0.000, 0.000], [0.000, 0.000, 0.500], [0.667, 0.333, 0.748], [0.333, 0.667, 0.252], [0.682, 0.841, 0.287], [0.159, 0.318, 0.287], [0.159, 0.841, 0.287], [0.841, 0.682, 0.713], [0.318, 0.159, 0.713], [0.841, 0.159, 0.713]],
  "dos_ef_per_ev_fu": 0.00,
  "final_energy_ry_per_atom": -0.18712
}

{
  "formula": "NaRe2AgI",
  "functional": "GGA-PBE",
  "state": "optimized geometry",
  "lattice": [[4.920, 0.000, 0.000], [0.000, 5.363, 0.000], [0.000, 0.000, 4.920]],
  "species": ["I", "Re", "Re", "Ag", "Na"],
  "frac_coords": [[0.000, 0.000, 0.000], [0.000, 0.000, 0.500], [0.500, 0.000, 0.000], [0.000, 0.500, 0.000], [0.500, 0.500, 0.500]],
  "dos_ef_per_ev_fu": 3.45,
  "final_energy_ry_per_atom": -0.29298
}

{
  "formula": "NaAg2SI",
  "functional": "GGA-PBE",
  "state": "optimized geometry",
  "lattice": [[-3.487, -0.803, -3.261], [-2.349, -2.775, 3.196], [-2.829, 4.580, 1.897]],
  "species": ["I", "Na", "S", "Ag", "Ag"],
  "frac_coords": [[0.500, 0.500, 0.500], [0.000, 0.000, 0.500], [0.000, 0.000, 0.000], [0.000, 0.500, 0.000], [0.500, 0.000, 0.000]],
  "final_energy_ry_per_atom": -0.21985
}

{
  "formula": "Na2AgSI",
  "functional": "GGA-PBE",
  "state": "optimized geometry",
  "lattice": [[-3.329, -2.298, -3.669], [4.186, -0.532, -3.466], [0.960, -4.291, 1.817]],
  "species": ["I", "Na", "Na", "S", "Ag"],
  "frac_coords": [[0.500, 0.500, 0.500], [0.000, 0.500, 0.000], [0.500, 0.000, 0.000], [0.000, 0.000, 0.000], [0.000, 0.000, 0.500]],
  "dos_ef_per_ev_fu": 0.00,
  "final_energy_ry_per_atom": -0.22391
}

{
  "formula": "NaAg2SbI6",
  "functional": "GGA-PBE",
  "state": "optimized geometry",
  "lattice": [[-0.679, 3.818, 7.029], [-9.017, -3.522, 2.420], [3.792, -7.266, 5.692]],
  "species": ["Na", "Na", "Ag", "Ag", "Ag", "Ag", "Sb", "Sb", "I", "I", "I", "I", "I", "I", "I", "I", "I", "I", "I", "I"],
  "frac_coords": [[0.250, 0.915, 0.085], [0.750, 0.085, 0.915], [0.206, 0.759, 0.576], [0.294, 0.424, 0.241], [0.794, 0.241, 0.424], [0.706, 0.576, 0.759], [0.250, 0.254, 0.746], [0.750, 0.746, 0.254], [0.133, 0.971, 0.784], [0.367, 0.216, 0.029], [0.867, 0.029, 0.216], [0.633, 0.784, 0.971], [0.403, 0.881, 0.364], [0.097, 0.636, 0.119], [0.597, 0.119, 0.636], [0.903, 0.364, 0.881], [0.869, 0.720, 0.538], [0.631, 0.462, 0.280], [0.131, 0.280, 0.462], [0.369, 0.538, 0.720]],
  "dos_ef_per_ev_fu": 0.00,
  "final_energy_ry_per_atom": -0.18450
}

{
  "formula": "NaScAg2I6",
  "functional": "GGA-PBE",
  "state": "optimized geometry",
  "lattice": [[-0.091, 1.546, -7.735], [-7.233, -6.240, -2.268], [-6.834, 7.039, 0.382]],
  "species": ["Na", "Na", "Sc", "Sc", "Ag", "Ag", "Ag", "Ag", "I", "I", "I", "I", "I", "I", "I", "I", "I", "I", "I", "I"],
  "frac_coords": [[0.250, 0.917, 0.083], [0.750, 0.083, 0.917], [0.250, 0.255, 0.745], [0.750, 0.745, 0.255], [0.204, 0.761, 0.577], [0.296, 0.423, 0.239], [0.796, 0.239, 0.423], [0.704, 0.577, 0.761], [0.133, 0.979, 0.780], [0.367, 0.220, 0.021], [0.867, 0.021, 0.220], [0.633, 0.780, 0.979], [0.418, 0.872, 0.362], [0.082, 0.638, 0.128], [0.582, 0.128, 0.638], [0.918, 0.362, 0.872], [0.865, 0.718, 0.528], [0.635, 0.472, 0.282], [0.135, 0.282, 0.472], [0.365, 0.528, 0.718]],
  "dos_ef_per_ev_fu": 0.00,
  "final_energy_ry_per_atom": -0.22667
}

{
  "formula": "Na2ScAgI6",
  "functional": "GGA-PBE",
  "state": "optimized geometry",
  "lattice": [[-0.958, -7.579, -1.738], [4.461, -5.416, 3.487], [-3.800, -4.951, 5.992]],
  "species": ["Na", "Na", "Sc", "Ag", "I", "I", "I", "I", "I", "I"],
  "frac_coords": [[0.529, 0.528, 0.415], [0.010, 0.010, 0.972], [0.331, 0.331, 0.007], [0.744, 0.744, 0.768], [0.577, 0.249, 0.210], [0.249, 0.964, 0.211], [0.964, 0.576, 0.211], [0.419, 0.715, 0.741], [0.715, 0.125, 0.741], [0.125, 0.419, 0.741]],
  "dos_ef_per_ev_fu": 0.00,
  "final_energy_ry_per_atom": -0.23056
}

{
  "formula": "Na2AgSeI",
  "functional": "GGA-PBE",
  "state": "optimized geometry",
  "lattice": [[-0.977, 4.807, -2.777], [-5.063, 0.385, 2.447], [2.006, 2.572, 3.747]],
  "species": ["I", "Na", "Na", "Se", "Ag"],
  "frac_coords": [[0.500, 0.500, 0.500], [0.000, 0.500, 0.000], [0.500, 0.000, 0.000], [0.000, 0.000, 0.000], [0.000, 0.000, 0.500]],
  "final_energy_ry_per_atom": -0.21107
}

{
  "formula": "NaAg2SeI",
  "functional": "GGA-PBE",
  "state": "optimized geometry",
  "lattice": [[-4.544, 0.882, -1.994], [-1.647, -4.409, 1.804], [-1.648, 2.629, 4.919]],
  "species": ["I", "Na", "Se", "Ag", "Ag"],
  "frac_coords": [[0.500, 0.500, 0.500], [0.000, 0.000, 0.500], [0.000, 0.000, 0.000], [0.000, 0.500, 0.000], [0.500, 0.000, 0.000]],
  "final_energy_ry_per_atom": -0.20722
}

{
  "formula": "NaSiAgI2",
  "functional": "GGA-PBE",
  "state": "optimized geometry",
  "lattice": [[6.117, 0.000, 0.000], [0.000, 4.741, 0.000], [0.000, 0.000, 6.117]],
  "species": ["I", "I", "Na", "Si", "Ag"],
  "frac_coords": [[0.000, 0.000, 0.500], [0.500, 0.000, 0.000], [0.500, 0.500, 0.500], [0.000, 0.500, 0.000], [0.000, 0.000, 0.000]],
  "dos_ef_per_ev_fu": 1.95,
  "final_energy_ry_per_atom": -0.18097
}

{
  "formula": "Na2AgSnI4",
  "functional": "GGA-PBE",
  "state": "optimized geometry",
  "lattice": [[-4.770, -1.218, 1.427], [2.345, -0.608, 7.320], [-2.322, 7.091, -1.712]],
  "species": ["Na", "Na", "Ag", "Sn", "I", "I", "I", "I"],
  "frac_coords": [[0.500, 0.000, 0.500], [0.000, 0.500, 0.500], [0.000, 0.000, 0.000], [0.500, 0.500, 0.000], [0.500, 0.245, 0.249], [0.500, 0.755, 0.751], [0.000, 0.238, 0.766], [0.000, 0.762, 0.234]],
  "dos_ef_per_ev_fu": 3.18,
  "final_energy_ry_per_atom": -0.18538
}

{
  "formula": "Na2SrAgI5",
  "functional": "GGA-PBE",
  "state": "optimized geometry",
  "lattice": [[4.631, 0.000, 0.000], [-2.316, 10.593, 0.000], [0.000, 0.000, 14.913]],
  "species": ["Na", "Na", "Na", "Na", "Sr", "Sr", "Ag", "Ag", "I", "I", "I", "I", "I", "I", "I", "I", "I", "I"],
  "frac_coords": [[0.891, 0.781, 0.832], [0.067, 0.135, 0.643], [0.109, 0.219, 0.332], [0.933, 0.865, 0.143], [0.788, 0.577, 0.542], [0.212, 0.423, 0.042], [0.577, 0.155, 0.917], [0.423, 0.845, 0.417], [0.368, 0.736, 0.016], [0.712, 0.423, 0.886], [0.499, 0.998, 0.766], [0.303, 0.607, 0.696], [0.944, 0.889, 0.526], [0.632, 0.264, 0.516], [0.288, 0.577, 0.386], [0.501, 0.002, 0.266], [0.697, 0.393, 0.196], [0.056, 0.111, 0.026]],
  "dos_ef_per_ev_fu": 0.00,
  "final_energy_ry_per_atom": -0.20571
}